1.
Material: Nd6Sm2Mg
Method: DFT, PBE
State: relaxed

Calculated values
As for the formation enthalpy at 0 K: 0.541 eV/f.u.

a b c (Å): 6.1990 9.5493 20.4392
angles (deg): 90.00 90.00 90.00
Last column: nearest neighbours and their distance in Å.
Space group Ibam (No. 72)
Asymmetric unit:
Nd1 0.0000 0.0000 0.0820  5 Nd 3.35-3.66, 1 Mg 3.43, 4 Sm 3.58-3.64
Nd2 0.0997 0.3247 0.1722  2 Mg 3.39-3.54, 6 Nd 3.41-3.66, 1 Sm 3.64
Sm1 0.0491 0.3300 0.5000  3 Sm 3.30-3.46, 6 Nd 3.58-3.64
Mg1 0.0000 0.0000 0.2500  10 Nd 3.39-3.54

=====

2.
Material: Ba2CrSb
Method: DFT, PBE
State: relaxed

Calculated values
The energy relative to the elements, uncorrected is 0.4 kcal/mol of atoms.

a b c (Å): 5.2497 5.2497 23.0376
angles (deg): 90.00 90.00 120.00
Last column: nearest neighbours and their distance in Å.
Space group R-3m (No. 166, hexagonal axes)
Asymmetric unit:
Ba1 0.0000 0.0000 0.2417  3 Sb 3.49, 3 Cr 3.69
Cr1 0.0000 0.0000 0.0000  6 Ba 3.69
Sb1 0.0000 0.0000 0.5000  6 Ba 3.49

=====

3.
Material: La8NdTh4
Method: DFT, PBE
State: relaxed

Calculated values
As for the formation enthalpy at 0 K: 6.549 eV/f.u.

a b c (Å): 11.3314 11.3314 13.8359
angles (deg): 90.00 90.00 120.00
Last column: nearest neighbours and their distance in Å.
Space group R-3m (No. 166, hexagonal axes)
Asymmetric unit:
La1 0.0000 0.0000 0.2374  4 Th 3.28-3.53, 1 Nd 3.63
La2 0.0162 0.5081 0.7452  4 Th 3.30-3.53, 1 Nd 3.64
Nd1 0.0000 0.0000 0.5000  8 La 3.63-3.64, 6 Th 4.00
Th1 0.0000 0.0000 0.0000  8 La 3.28-3.30
Th2 0.0000 0.5000 0.0000  8 La 3.53

=====

Number 1: ρ 6535 kg/m3. Number 2: ρ 4064 kg/m3. Number 3: ρ 7070 kg/m3.